# 1
The following is a PBE-GGA calculation of an optimized crystal structure of TaOsRh2, from Alexandria.

Cell lengths 3.892, 3.892, 3.941 Å; angles 90.00, 90.00, 90.00 degrees
Space group P4/mmm (No. 123)
Unique sites:
Ta (0.000, 0.000, 0.000) [1 per cell]
Os (0.500, 0.500, 0.000) [1 per cell]
Rh (0.000, 0.500, 0.500) [2 per cell]

## Properties
- DFT total energy: -39.492 eV/f.u.
- Formation energy: -1.7 eV per formula unit


# 2
The following is a PBE-GGA calculation of an optimized crystal structure of TaOsRh, from Alexandria.

Cell lengths 2.828, 14.591, 4.480 Å; angles 90.00, 90.00, 90.00 degrees
Space group Cmcm (No. 63)
Unique sites:
Ta (0.000, 0.107, 0.250) [4 per cell]
Os (0.000, 0.226, 0.750) [4 per cell]
Rh (0.000, 0.439, 0.250) [4 per cell]

## Properties
- DFT total energy: -31.217 eV/f.u.
- Formation energy: -0.8 eV per formula unit


# 3
The following is a PBE-GGA calculation of an optimized crystal structure of Ta2OsRh, from Alexandria.

Cell lengths 4.671, 4.671, 2.984 Å; angles 90.00, 90.00, 90.00 degrees
Space group P4/mmm (No. 123)
Unique sites:
Ta (0.000, 0.500, 0.000) [2 per cell]
Os (0.000, 0.000, 0.500) [1 per cell]
Rh (0.500, 0.500, 0.500) [1 per cell]

## Properties
- DFT total energy: -43.426 eV/f.u.
- Formation energy: -1.1 eV per formula unit


# 4
The following is a PBE-GGA calculation of an optimized crystal structure of TaOs2Rh, from Alexandria.

Cell lengths 3.934, 3.934, 7.802 Å; angles 90.00, 90.00, 90.00 degrees
Space group I-4m2 (No. 119)
Unique sites:
Ta (0.000, 0.000, 0.000) [2 per cell]
Os (0.000, 0.000, 0.500) [2 per cell]
Os (0.000, 0.500, 0.750) [2 per cell]
Rh (0.000, 0.500, 0.250) [2 per cell]

## Properties
- DFT total energy: -42.560 eV/f.u.
- Formation energy: -0.9 eV per formula unit


# 5
The following is a PBE-GGA calculation of an optimized crystal structure of TaOs2Rh, from Alexandria.

Cell lengths 6.271, 6.271, 6.271 Å; angles 90.00, 90.00, 90.00 degrees
Space group Fm-3m (No. 225)
Unique sites:
Ta (0.000, 0.000, 0.000) [4 per cell]
Os (0.250, 0.250, 0.250) [8 per cell]
Rh (0.000, 0.000, 0.500) [4 per cell]

## Properties
- DFT total energy: -40.993 eV/f.u.
- Formation energy: 0.7 eV per formula unit


# 6
The following is a PBE-GGA calculation of an optimized crystal structure of TaOsRh2, from Alexandria.

Cell lengths 3.948, 3.948, 7.721 Å; angles 90.00, 90.00, 90.00 degrees
Space group I-4m2 (No. 119)
Unique sites:
Ta (0.000, 0.000, 0.000) [2 per cell]
Os (0.000, 0.500, 0.750) [2 per cell]
Rh (0.000, 0.000, 0.500) [2 per cell]
Rh (0.000, 0.500, 0.250) [2 per cell]

## Properties
- DFT total energy: -38.956 eV/f.u.
- Formation energy: -1.2 eV per formula unit